[1]
ScTl3 (PBE-GGA, relaxed); density of states at the Fermi level = 2.361 states/eV per cell; ρ = 10.32 g cm⁻³; SG = Pmm2, No. 25; volume = 26.5 A^3/atom; DFT formation energy = -0.0531 eV per atom; crystal system = orthorhombic
1.0
3.821 0.000 0.000
0.000 5.263 0.000
0.000 0.000 5.265
Sc Tl
1 3
direct
0.000 0.000 0.000
0.000 0.500 0.497
0.500 0.000 0.500
0.500 0.500 0.997

=====

[2]
AcTmSe3 (PBE-GGA, relaxed); ρ = 7.49 g cm⁻³; energy relative to the elements, uncorrected = -1953 meV per atom; excess energy over the best structure of this formula in the dataset = 0.0 meV per atom; SG = Pnma, No. 62; volume = 28.1 A^3/atom; crystal system = orthorhombic
1.0
8.719 0.000 0.000
0.000 4.217 0.000
0.000 0.000 15.269
Ac Tm Se
4 4 12
direct
0.126 0.250 0.192
0.374 0.750 0.692
0.626 0.250 0.308
0.874 0.750 0.808
0.181 0.750 0.455
0.319 0.250 0.955
0.681 0.750 0.045
0.819 0.250 0.545
0.003 0.750 0.612
0.159 0.750 0.039
0.161 0.250 0.793
0.339 0.750 0.293
0.341 0.250 0.539
0.497 0.250 0.112
0.503 0.750 0.888
0.659 0.750 0.461
0.661 0.250 0.707
0.839 0.750 0.207
0.841 0.250 0.961
0.997 0.250 0.388

=====

[3]
TbCdAu (PBE-GGA, relaxed); density of states at the Fermi level = 2.259 states/eV per cell; ρ = 11.24 g cm⁻³; SG = P-6m2, No. 187; volume = 23.1 A^3/atom; DFT formation energy = -0.5604 eV per atom; crystal system = hexagonal
1.0
4.819 0.000 0.000
-2.410 4.174 0.000
0.000 0.000 3.441
Tb Cd Au
1 1 1
direct
0.000 0.000 0.000
0.667 0.333 0.500
0.333 0.667 0.500